(1)
Material: AgRuF2
Method: DFT, PBE
State: optimized geometry

The structure in CIF format:
```
data_AgRuF2
_chemical_formula_sum 'Ag4 Ru4 F8'
_cell_length_a 6.526
_cell_length_b 6.526
_cell_length_c 5.843
_cell_angle_alpha 90.00
_cell_angle_beta 90.00
_cell_angle_gamma 90.00
_symmetry_space_group_name_H-M 'I -4 2 d'
_symmetry_Int_Tables_number 122
_symmetry_space_group_name_Hall 'I -4 2bw'
loop_
_atom_site_label
_atom_site_fract_x
_atom_site_fract_y
_atom_site_fract_z
_atom_site_occupancy
Ag1 0.000 0.000 0.000 1
Ru1 0.000 0.000 0.500 1
F1 0.208 0.250 0.625 1
```

Values from the calculation:
Formation energy without anion corrections in meV per atom: -297.1
V in Å³/atom: 15.6
Magnetic moment in μB per atom: 0.815

---

(2)
Material: Ag3RuF8
Method: DFT, PBE
State: optimized geometry

The structure in CIF format:
```
data_Ag3RuF8
_chemical_formula_sum 'Ag6 Ru2 F16'
_cell_length_a 5.687
_cell_length_b 11.160
_cell_length_c 7.193
_cell_angle_alpha 90.00
_cell_angle_beta 90.00
_cell_angle_gamma 90.00
_symmetry_space_group_name_H-M 'C 2 2 2'
_symmetry_Int_Tables_number 21
_symmetry_space_group_name_Hall 'C 2 2'
loop_
_atom_site_label
_atom_site_fract_x
_atom_site_fract_y
_atom_site_fract_z
_atom_site_occupancy
Ag1 0.000 0.000 0.000 1
Ag2 0.250 0.250 0.766 1
Ru1 0.000 0.000 0.500 1
F1 0.000 0.174 0.500 1
F2 0.000 0.193 0.000 1
F3 0.233 0.008 0.694 1
```

Values from the calculation:
Formation energy without anion corrections in meV per atom: -1364.7
V in Å³/atom: 19.0
Magnetic moment in μB per atom: 0.234

---

(3)
Material: Ag2RuF8
Method: DFT, PBE
State: optimized geometry

The structure in CIF format:
```
data_Ag2RuF8
_chemical_formula_sum 'Ag4 Ru2 F16'
_cell_length_a 10.053
_cell_length_b 7.781
_cell_length_c 4.465
_cell_angle_alpha 90.00
_cell_angle_beta 90.63
_cell_angle_gamma 90.00
_symmetry_space_group_name_H-M 'C 1 2/m 1'
_symmetry_Int_Tables_number 12
_symmetry_space_group_name_Hall '-C 2y'
loop_
_atom_site_label
_atom_site_fract_x
_atom_site_fract_y
_atom_site_fract_z
_atom_site_occupancy
Ag1 0.125 0.000 0.258 1
Ru1 0.000 0.500 0.500 1
F1 0.087 0.325 0.279 1
F2 0.103 0.000 0.757 1
F3 0.150 0.500 0.769 1
```

Values from the calculation:
Formation energy without anion corrections in meV per atom: -1454.4
V in Å³/atom: 15.9
Magnetic moment in μB per atom: 0.235

---

Number 1: uncorrected energy -4.26 eV/atom. Number 2: uncorrected energy -4.10 eV/atom. Number 3: uncorrected energy -4.18 eV/atom.